1.
Computed, not measured: a relaxed structure of Pu2NbZn at the PBE level of DFT.

## Properties
ρ (g/cm3): 12.447
Crystal system: trigonal
Calculated volume (Å³/f.u.): 86.2
Total moment (μB per atom): 2.40
Uncorrected energy (Ha/atom): -0.3516
ΔE to the lowest computed polymorph (kJ/mol of atoms): 28.8
Energy of formation (eV/f.u.): 1.7

Cell lengths 11.631, 11.631, 11.631 Å; angles 14.53, 14.53, 14.53 degrees
Fractional coordinates of all 4 atoms:
Pu: 0.088 0.088 0.088
Pu: 0.912 0.912 0.912
Nb: 0.500 0.500 0.500
Zn: 0.000 0.000 0.000



2.
Computed, not measured: a relaxed structure of PuNbZn4 at the PBE level of DFT.

## Properties
ρ (g/cm3): 9.650
Crystal system: cubic
Calculated volume (Å³/f.u.): 103.0
Total moment (μB per atom): 1.07
Uncorrected energy (Ha/atom): -0.1820
Energy of formation (eV/f.u.): -0.2

Cell lengths 5.261, 5.261, 5.261 Å; angles 60.00, 60.00, 60.00 degrees
Fractional coordinates of all 6 atoms:
Pu: 0.000 0.000 0.000
Nb: 0.250 0.250 0.250
Zn: 0.130 0.623 0.623
Zn: 0.623 0.130 0.623
Zn: 0.623 0.623 0.130
Zn: 0.623 0.623 0.623



3.
Computed, not measured: a relaxed structure of PuZr3Nb at the PBE level of DFT.

## Properties
ρ (g/cm3): 9.087
Crystal system: triclinic
Calculated volume (Å³/f.u.): 111.6
Total moment (μB per atom): 0.95
Uncorrected energy (Ha/atom): -0.3611
Energy of formation (eV/f.u.): 0.9

Cell lengths 5.570, 5.635, 7.538 Å; angles 77.84, 75.01, 89.47 degrees
Fractional coordinates of all 10 atoms:
Pu: 0.158 0.097 0.142
Pu: 0.842 0.903 0.858
Zr: 0.137 0.732 0.494
Zr: 0.244 0.630 0.046
Zr: 0.422 0.262 0.374
Zr: 0.578 0.738 0.626
Zr: 0.756 0.370 0.954
Zr: 0.863 0.268 0.506
Nb: 0.316 0.210 0.774
Nb: 0.684 0.790 0.226



4.
Computed, not measured: a relaxed structure of PuZr2Nb at the PBE level of DFT.

## Properties
ρ (g/cm3): 9.680
Crystal system: trigonal
Calculated volume (Å³/f.u.): 89.1
Total moment (μB per atom): 1.39
Uncorrected energy (Ha/atom): -0.3736
ΔE to the lowest computed polymorph (kJ/mol of atoms): 7.2
Energy of formation (eV/f.u.): 0.8

Cell lengths 10.371, 10.371, 10.371 Å; angles 17.61, 17.61, 17.61 degrees
Fractional coordinates of all 4 atoms:
Pu: 0.000 0.000 0.000
Zr: 0.246 0.246 0.246
Zr: 0.754 0.754 0.754
Nb: 0.500 0.500 0.500